Density functional theory data (GGA-PBE) for an optimized crystal structure of YHoMo4.

For the formation energy from the elements, the calculation gives 88 meV/atom.

It has space group F-43m (No. 216), with a = 7.8058 Å, b = 7.8058 Å, c = 7.8058 Å, α = 90.00°, β = 90.00° and γ = 90.00°. Symmetry generates all atoms from Y at (0.0000, 0.0000, 0.0000), Ho at (0.2500, 0.2500, 0.7500) and Mo at (0.1249, 0.1249, 0.3751).

Density functional theory data (GGA-PBE) for an optimized crystal structure of YHoMo.

For the formation energy from the elements, the calculation gives 248 meV/atom.

It has space group C2/m (No. 12), with a = 12.8282 Å, b = 4.3281 Å, c = 5.9377 Å, α = 90.00°, β = 96.69° and γ = 90.00°. Symmetry generates all atoms from Y at (0.1509, 0.0000, 0.3624), Ho at (0.0732, 0.5000, 0.7763) and Mo at (0.2450, 0.5000, 0.1076).

Density functional theory data (GGA-PBE) for an optimized crystal structure of HoZrMo.

For the formation energy from the elements, the calculation gives 263 meV/atom.

It has space group R-3m (No. 166, hexagonal axes), with a = 3.2872 Å, b = 3.2872 Å, c = 44.2463 Å, α = 90.00°, β = 90.00° and γ = 120.00°. Symmetry generates all atoms from Ho at (0.0000, 0.0000, 0.1321), Zr at (0.0000, 0.0000, 0.4030) and Mo at (0.0000, 0.0000, 0.3136).

Density functional theory data (GGA-PBE) for an optimized crystal structure of HoZrMo.

For the formation energy from the elements, the calculation gives 127 meV/atom.

It has space group I4mm (No. 107), with a = 3.4929 Å, b = 3.4929 Å, c = 11.1970 Å, α = 90.00°, β = 90.00° and γ = 90.00°. Symmetry generates all atoms from Ho at (0.0000, 0.0000, 0.0000), Zr at (0.0000, 0.0000, 0.2849) and Mo at (0.0000, 0.0000, 0.6680).

Density functional theory data (GGA-PBE) for an optimized crystal structure of Ho3N.

As for the uncorrected formation energy: -2.0 eV per formula unit.

It has space group Imm2 (No. 44), with a = 3.2614 Å, b = 9.7623 Å, c = 5.8911 Å, α = 90.00°, β = 90.00° and γ = 90.00°. Symmetry generates all atoms from Ho at (0.0000, 0.0000, 0.0000), Ho at (0.0000, 0.1658, 0.4685) and N at (0.0000, 0.5000, 0.7788).

Density functional theory data (GGA-PBE) for an optimized crystal structure of HoN.

As for the uncorrected formation energy: -1.6 eV per formula unit.

It has space group Pm-3m (No. 221), with a = 2.9791 Å, b = 2.9791 Å, c = 2.9791 Å, α = 90.00°, β = 90.00° and γ = 90.00°. Symmetry generates all atoms from Ho at (0.0000, 0.0000, 0.0000) and N at (0.5000, 0.5000, 0.5000).

Density functional theory data (GGA-PBE) for an optimized crystal structure of Ho4N.

As for the uncorrected formation energy: -2.6 eV per formula unit.

It has space group Pm-3m (No. 221), with a = 4.9306 Å, b = 4.9306 Å, c = 4.9306 Å, α = 90.00°, β = 90.00° and γ = 90.00°. Symmetry generates all atoms from Ho at (0.0000, 0.0000, 0.0000), Ho at (0.0000, 0.5000, 0.5000) and N at (0.5000, 0.5000, 0.5000).

Density functional theory data (GGA-PBE) for an optimized crystal structure of Ho6N5.

As for the uncorrected formation energy: -17.5 eV per formula unit.

It has space group C2/m (No. 12), with a = 6.0070 Å, b = 10.3888 Å, c = 6.0063 Å, α = 90.00°, β = 109.64° and γ = 90.00°. Symmetry generates all atoms from Ho at (0.2389, 0.0000, 0.2611), Ho at (0.2417, 0.1737, 0.7467), N at (0.0000, 0.0000, 0.5000), N at (0.0000, 0.1664, 0.0000) and N at (0.0000, 0.3309, 0.5000).

Density functional theory data (GGA-PBE) for an optimized crystal structure of Ho5N.

As for the uncorrected formation energy: 0.0 eV per formula unit.

It has space group Cmmm (No. 65), with a = 3.2866 Å, b = 17.6487 Å, c = 6.1617 Å, α = 90.00°, β = 90.00° and γ = 90.00°. Symmetry generates all atoms from Ho at (0.0000, 0.0000, 0.0000), Ho at (0.0000, 0.0920, 0.5000), Ho at (0.0000, 0.3330, 0.0000) and N at (0.0000, 0.5000, 0.5000).

Density functional theory data (GGA-PBE) for an optimized crystal structure of Ho3N.

As for the uncorrected formation energy: -1.8 eV per formula unit.

It has space group Pmm2 (No. 25), with a = 3.1762 Å, b = 3.3054 Å, c = 8.9102 Å, α = 90.00°, β = 90.00° and γ = 90.00°. Symmetry generates all atoms from Ho at (0.0000, 0.0000, 0.0000), Ho at (0.0000, 0.5000, 0.3081), Ho at (0.5000, 0.5000, 0.6873) and N at (0.5000, 0.0000, 0.2138).

Density functional theory data (GGA-PBE) for an optimized crystal structure of Ho3N2.

As for the uncorrected formation energy: -6.8 eV per formula unit.

It has space group R-3m (No. 166, hexagonal axes), with a = 3.4655 Å, b = 3.4655 Å, c = 26.2529 Å, α = 90.00°, β = 90.00° and γ = 120.00°. Symmetry generates all atoms from Ho at (0.0000, 0.0000, 0.0000), Ho at (0.0000, 0.0000, 0.2302) and N at (0.0000, 0.0000, 0.3891).

Density functional theory data (GGA-PBE) for an optimized crystal structure of Ho3N2.

As for the uncorrected formation energy: -6.1 eV per formula unit.

It has space group R-3c (No. 167, hexagonal axes), with a = 5.9382 Å, b = 5.9382 Å, c = 17.2007 Å, α = 90.00°, β = 90.00° and γ = 120.00°. Symmetry generates all atoms from Ho at (0.0000, 0.3242, 0.2500) and N at (0.0000, 0.0000, 0.1623).